(1)
Density functional theory data (PBE-GGA) for a relaxed structure of CsNpAgTe2.

The formation energy from raw total energies comes out at -0.52 eV/atom.

The space group is Cmme (No. 67) and the conventional cell measures 6.094, 17.705 and 6.860 Å, with angles of 90.00, 90.00 and 90.00 degrees. The inequivalent atoms are Cs at (0.000, 0.250, 0.238), Np at (0.250, 0.000, 0.500), Ag at (0.000, 0.000, 0.000) and Te at (0.000, 0.118, 0.748).



(2)
Density functional theory data (PBE-GGA) for a relaxed structure of Cs6AgO2.

The formation energy from raw total energies comes out at -0.63 eV/atom.

The space group is C2/m (No. 12) and the conventional cell measures 15.118, 6.245 and 11.234 Å, with angles of 90.00, 121.47 and 90.00 degrees. The inequivalent atoms are Cs at (0.020, 0.000, 0.174), Cs at (0.178, 0.500, 0.647), Cs at (0.212, 0.500, 0.068), Ag at (0.000, 0.000, 0.500) and O at (0.173, 0.000, 0.078).



(3)
Density functional theory data (PBE-GGA) for a relaxed structure of Cs12Ag3O5.

The formation energy from raw total energies comes out at -0.63 eV/atom.

The space group is Ia-3d (No. 230) and the conventional cell measures 19.149, 19.149 and 19.149 Å, with angles of 90.00, 90.00 and 90.00 degrees. The inequivalent atoms are Cs at (0.035, 0.048, 0.648), Ag at (0.000, 0.250, 0.125), O at (0.000, 0.000, 0.000) and O at (0.000, 0.250, 0.375).



(4)
Density functional theory data (PBE-GGA) for a relaxed structure of CsAg2O.

The formation energy from raw total energies comes out at -0.18 eV/atom.

The space group is I4_1/amd (No. 141, origin choice 2) and the conventional cell measures 7.063, 7.063 and 10.065 Å, with angles of 90.00, 90.00 and 90.00 degrees. The inequivalent atoms are Cs at (0.000, 0.250, 0.375), Ag at (0.000, 0.000, 0.000) and O at (0.000, 0.250, 0.875).



(5)
Density functional theory data (PBE-GGA) for a relaxed structure of Cs12AgO3.

The formation energy from raw total energies comes out at -0.56 eV/atom.

The space group is P6_3/m (No. 176) and the conventional cell measures 16.3234, 16.3234 and 10.6519 Å, with angles of 90.00, 90.00 and 120.00 degrees. The inequivalent atoms are Cs at (0.0245, 0.1956, 0.2500), Cs at (0.0343, 0.5615, 0.7500), Cs at (0.1990, 0.4485, 0.0429), Ag at (0.3333, 0.6667, 0.7500) and O at (0.0933, 0.3815, 0.2500).



(6)
Density functional theory data (PBE-GGA) for a relaxed structure of Cs6Ag2O.

The formation energy from raw total energies comes out at -0.30 eV/atom.

The space group is P6_3mc (No. 186) and the conventional cell measures 8.6429, 8.6429 and 14.8199 Å, with angles of 90.00, 90.00 and 120.00 degrees. The inequivalent atoms are Cs at (0.0214, 0.5107, 0.0000), Cs at (0.1715, 0.3430, 0.2216), Ag at (0.0000, 0.0000, 0.0110), Ag at (0.3333, 0.6667, 0.7282) and O at (0.3333, 0.6667, 0.1146).



(7)
Density functional theory data (PBE-GGA) for a relaxed structure of Cs8AgO2.

The formation energy from raw total energies comes out at -0.54 eV/atom.

The space group is C2/m (No. 12) and the conventional cell measures 17.584, 11.816 and 8.596 Å, with angles of 90.00, 98.48 and 90.00 degrees. The inequivalent atoms are Cs at (0.116, 0.179, 0.250), Cs at (0.164, 0.500, 0.737), Cs at (0.177, 0.000, 0.832), Ag at (0.000, 0.000, 0.500) and O at (0.188, 0.000, 0.146).



(8)
Density functional theory data (PBE-GGA) for a relaxed structure of Cs4Ag2O.

The formation energy from raw total energies comes out at -0.35 eV/atom.

The space group is C2/m (No. 12) and the conventional cell measures 17.000, 4.903 and 7.572 Å, with angles of 90.00, 99.24 and 90.00 degrees. The inequivalent atoms are Cs at (0.066, 0.000, 0.236), Cs at (0.144, 0.500, 0.868), Ag at (0.246, 0.000, 0.589) and O at (0.000, 0.500, 0.000).



no.,magnetization (μB/f.u.)
1,5.0
2,0.0
3,1.1
4,0.0
5,0.0
6,0.0
7,0.0
8,0.0